Density functional theory data (PBE-GGA) for a geometry-optimized ZnHRuO2 structure.

Cell: 3.9741 3.3677 3.9741 Å, 90.00 90.00 90.00°
Each line ends with the local moment (μB).
Fractional coordinates of all 5 atoms:
Ru1 0.0000 0.0000 0.0000  0.79
Zn1 0.5000 0.5000 0.5000  -0.01
O1 0.0000 0.0000 0.5000  0.07
O2 0.5000 0.0000 0.0000  0.19
H1 0.0000 0.5000 0.0000  -0.01

Summary:
- Crystal system: tetragonal
- Total magnetization: 1.09 μB/f.u.
- Raw total energy: -0.367 Ry per atom
- DOS at the Fermi energy: 3.22 states/eV/cell